Entry 1:
! LiO8 SCAN single point on PBEsol structure; values from VASP
&SYSTEM
  ibrav = 0, nat = 9, ntyp = 2
/
ATOMIC_SPECIES
O 16.00 O.upf
Li 6.94 Li.upf
ATOMIC_POSITIONS angstrom
O -1.664 -3.861 1.611
O 0.188 -1.579 0.461
O -2.567 -5.591 -0.099
O -3.540 -3.083 -0.004
O 2.141 -2.406 2.143
O 1.212 -4.219 0.360
O -0.856 -3.431 -1.459
O -4.589 -4.863 -1.875
Li 0.225 -3.140 1.895
CELL_PARAMETERS angstrom
-4.625 -1.807 0.344
-1.406 -3.582 -3.084
3.531 -1.895 2.875
! - Offset from the most stable computed form: 0 meV/atom
! - DOS(E_F): 2.5 states/eV/f.u.
! - Formation energy (no corrections): -202 meV per atom

Entry 2:
! LiO SCAN single point on PBEsol structure; values from VASP
&SYSTEM
  ibrav = 0, nat = 8, ntyp = 2
/
ATOMIC_SPECIES
Li 6.94 Li.upf
O 16.00 O.upf
ATOMIC_POSITIONS angstrom
Li 0.847 -1.569 3.324
Li -0.248 -3.320 4.917
Li 0.000 0.000 0.000
Li 0.427 -2.413 0.892
O 1.102 -3.664 3.542
O -0.923 -2.069 2.267
O 1.446 -4.301 4.890
O -1.267 -1.433 0.919
CELL_PARAMETERS angstrom
-3.041 -0.304 0.631
1.525 -2.291 -1.470
1.694 -3.138 6.648
! - DOS(E_F): 0.0 states/eV/f.u.
! - Formation energy (no corrections): -1581 meV per atom

Entry 3:
! LiO8 SCAN single point on PBEsol structure; values from VASP
&SYSTEM
  ibrav = 0, nat = 9, ntyp = 2
/
ATOMIC_SPECIES
O 16.00 O.upf
Li 6.94 Li.upf
ATOMIC_POSITIONS angstrom
O 3.068 0.872 3.095
O 1.954 3.021 1.098
O 4.526 3.176 2.889
O -0.957 0.284 3.562
O 0.470 0.762 1.422
O 4.551 1.360 0.866
O 5.979 3.529 0.546
O 0.495 2.647 3.381
Li 2.511 0.990 1.067
CELL_PARAMETERS angstrom
5.021 -0.002 0.002
2.411 4.255 0.053
-2.411 -0.259 4.247
! - Offset from the most stable computed form: 3 meV/atom
! - DOS(E_F): 2.7 states/eV/f.u.
! - Formation energy (no corrections): -199 meV per atom

Entry 4:
! LiO8 SCAN single point on PBEsol structure; values from VASP
&SYSTEM
  ibrav = 0, nat = 9, ntyp = 2
/
ATOMIC_SPECIES
O 16.00 O.upf
Li 6.94 Li.upf
ATOMIC_POSITIONS angstrom
O 2.078 3.537 1.014
O 5.131 2.186 3.446
O 1.168 0.955 0.744
O 5.131 3.876 1.278
O 6.040 4.768 3.716
O 4.227 1.281 0.998
O 2.981 4.442 3.462
O 2.078 1.847 3.182
Li 3.604 2.862 2.230
CELL_PARAMETERS angstrom
4.207 -0.040 -0.031
1.501 4.673 -0.053
1.501 1.090 4.544
! - Offset from the most stable computed form: 5 meV/atom
! - DOS(E_F): 3.0 states/eV/f.u.
! - Formation energy (no corrections): -197 meV per atom

Entry 5:
! Li2OsO2 SCAN single point on PBEsol structure; values from VASP
&SYSTEM
  ibrav = 0, nat = 10, ntyp = 3
/
ATOMIC_SPECIES
O 16.00 O.upf
Os 190.23 Os.upf
Li 6.94 Li.upf
ATOMIC_POSITIONS angstrom
O 1.267 1.136 4.070
O 1.267 4.731 1.798
O 1.267 4.070 4.731
O 1.267 1.798 1.136
Os 0.000 0.000 0.000
Os 0.000 2.934 2.934
Li 0.000 2.228 5.162
Li 0.000 3.639 0.705
Li 0.000 5.162 3.639
Li 0.000 0.705 2.228
CELL_PARAMETERS angstrom
2.534 0.000 0.000
0.000 5.867 0.000
0.000 0.000 5.867
! - DOS(E_F): 2.6 states/eV/f.u.
! - Formation energy (no corrections): -305 meV per atom

Entry 6:
! LiOs3O SCAN single point on PBEsol structure; values from VASP
&SYSTEM
  ibrav = 0, nat = 5, ntyp = 3
/
ATOMIC_SPECIES
O 16.00 O.upf
Os 190.23 Os.upf
Li 6.94 Li.upf
ATOMIC_POSITIONS angstrom
O 1.106 0.139 3.327
Os -0.332 -1.423 1.403
Os 1.936 0.126 0.585
Os -0.498 1.436 1.339
Li 0.000 0.000 0.000
CELL_PARAMETERS angstrom
-0.663 -2.847 2.806
3.871 0.251 1.170
-0.996 2.872 2.678
! - Offset from the most stable computed form: 1397 meV/atom
! - DOS(E_F): 4.6 states/eV/f.u.
! - Formation energy (no corrections): 2347 meV per atom

Entry 7:
! Li3OsO SCAN single point on PBEsol structure; values from VASP
&SYSTEM
  ibrav = 0, nat = 5, ntyp = 3
/
ATOMIC_SPECIES
O 16.00 O.upf
Li 6.94 Li.upf
Os 190.23 Os.upf
ATOMIC_POSITIONS angstrom
O -0.424 -2.817 -3.016
Li 1.663 -0.531 -1.640
Li -0.414 -2.335 0.337
Li -1.673 0.049 -1.713
Os 0.000 0.000 0.000
CELL_PARAMETERS angstrom
-3.346 0.099 -3.426
3.326 -1.063 -3.279
-0.828 -4.670 0.674
! - DOS(E_F): 2.5 states/eV/f.u.
! - Formation energy (no corrections): 1219 meV per atom

Entry 8:
! LiOs3O SCAN single point on PBEsol structure; values from VASP
&SYSTEM
  ibrav = 0, nat = 5, ntyp = 3
/
ATOMIC_SPECIES
O 16.00 O.upf
Os 190.23 Os.upf
Li 6.94 Li.upf
ATOMIC_POSITIONS angstrom
O 0.000 0.000 0.000
Os -0.503 1.480 1.258
Os -0.271 1.233 -1.560
Os -1.924 -0.561 -0.109
Li -2.698 2.153 -0.411
CELL_PARAMETERS angstrom
-0.542 2.467 -3.120
-3.848 -1.122 -0.219
-1.007 2.961 2.516
! - Offset from the most stable computed form: 0 meV/atom
! - DOS(E_F): 5.2 states/eV/f.u.
! - Formation energy (no corrections): 950 meV per atom